(1)
This record from the Alexandria database describes a relaxed structure of BaGeTe2I. The functional is PBE-GGA.

Energy above the lowest structure with this stoichiometry: 0.0000 eV per atom
Total energy: -17.845 eV per cell
DOS at the Fermi energy: 0.91 states/eV/f.u.
M_tot: 0.000 μB per formula unit
Formation energy (no corrections): -0.694 eV/atom

The structure in CIF format:
```
data_BaGeTe2I
_chemical_formula_sum 'Ba1 Ge1 Te2 I1'
_symmetry_space_group_name_H-M 'P 4/m m m'
_symmetry_Int_Tables_number 123
_symmetry_space_group_name_Hall '-P 4 2'
_cell_length_a 5.568
_cell_length_b 5.568
_cell_length_c 5.846
_cell_angle_alpha 90.00
_cell_angle_beta 90.00
_cell_angle_gamma 90.00
loop_
_atom_site_label
_atom_site_fract_x
_atom_site_fract_y
_atom_site_fract_z
Ba1 0.000 0.000 0.000
Ge1 0.500 0.500 0.500
Te1 0.000 0.500 0.500
I1 0.500 0.500 0.000
```

=====

(2)
This record from the Alexandria database describes a relaxed structure of AcAl4Ir. The functional is PBE-GGA.

Total energy: -63.469 eV per cell
DOS at the Fermi energy: 1.16 states/eV/f.u.
M_tot: 0.000 μB per formula unit
Formation energy: -632 meV per atom

The structure in CIF format:
```
data_AcAl4Ir
_chemical_formula_sum 'Ac2 Al8 Ir2'
_symmetry_space_group_name_H-M 'P m m a'
_symmetry_Int_Tables_number 51
_symmetry_space_group_name_Hall '-P 2a 2a'
_cell_length_a 7.867
_cell_length_b 4.212
_cell_length_c 7.384
_cell_angle_alpha 90.00
_cell_angle_beta 90.00
_cell_angle_gamma 90.00
loop_
_atom_site_label
_atom_site_fract_x
_atom_site_fract_y
_atom_site_fract_z
Ac1 0.250 0.000 0.114
Al1 0.000 0.000 0.500
Al2 0.068 0.500 0.783
Al3 0.250 0.500 0.456
Ir1 0.250 0.000 0.687
```

=====

(3)
This record from the Alexandria database describes a relaxed structure of RbCd17Pb. The functional is PBE-GGA.

Total energy: -60.786 eV per cell
DOS at the Fermi energy: 5.96 states/eV/f.u.
M_tot: 0.000 μB per formula unit
Formation energy: -2 meV per atom

The structure in CIF format:
```
data_RbCd17Pb
_chemical_formula_sum 'Rb3 Cd51 Pb3'
_symmetry_space_group_name_H-M 'R 3 m'
_symmetry_Int_Tables_number 160
_symmetry_space_group_name_Hall 'R 3 -2"'
_cell_length_a 10.3447
_cell_length_b 10.3447
_cell_length_c 15.4038
_cell_angle_alpha 90.00
_cell_angle_beta 90.00
_cell_angle_gamma 120.00
loop_
_atom_site_label
_atom_site_fract_x
_atom_site_fract_y
_atom_site_fract_z
Rb1 0.0000 0.0000 0.0000
Cd1 0.0000 0.0000 0.5530
Cd2 0.0000 0.0000 0.7528
Cd3 0.0382 0.3666 0.3272
Cd4 0.1730 0.3460 0.1378
Cd5 0.1766 0.3532 0.4994
Cd6 0.1769 0.3538 0.8416
Pb1 0.0000 0.0000 0.2802
```

=====

(4)
This record from the Alexandria database describes a relaxed structure of LiPm3Sn6. The functional is PBE-GGA.

Total energy: -174.055 eV per cell
DOS at the Fermi energy: 6.19 states/eV/f.u.
M_tot: 0.000 μB per formula unit
Formation energy: -333 meV per atom

The structure in CIF format:
```
data_LiPm3Sn6
_chemical_formula_sum 'Li4 Pm12 Sn24'
_symmetry_space_group_name_H-M 'C m c 21'
_symmetry_Int_Tables_number 36
_symmetry_space_group_name_Hall 'C 2c -2'
_cell_length_a 9.366
_cell_length_b 14.351
_cell_length_c 9.212
_cell_angle_alpha 90.00
_cell_angle_beta 90.00
_cell_angle_gamma 90.00
loop_
_atom_site_label
_atom_site_fract_x
_atom_site_fract_y
_atom_site_fract_z
Li1 0.000 0.135 0.000
Pm1 0.000 0.379 0.518
Pm2 0.199 0.116 0.584
Sn1 0.000 0.022 0.288
Sn2 0.000 0.223 0.286
Sn3 0.163 0.475 0.801
Sn4 0.167 0.273 0.812
```

=====

(5)
This record from the Alexandria database describes a relaxed structure of PaSiSeO4. The functional is PBE-GGA.

Total energy: -228.323 eV per cell
M_tot: 0.000 μB per formula unit
Formation energy (no corrections): -2.692 eV/atom

The structure in CIF format:
```
data_PaSiSeO4
_chemical_formula_sum 'Pa4 Si4 Se4 O16'
_symmetry_space_group_name_H-M 'C 1 2/m 1'
_symmetry_Int_Tables_number 12
_symmetry_space_group_name_Hall '-C 2y'
_cell_length_a 10.458
_cell_length_b 6.856
_cell_length_c 6.641
_cell_angle_alpha 90.00
_cell_angle_beta 104.87
_cell_angle_gamma 90.00
loop_
_atom_site_label
_atom_site_fract_x
_atom_site_fract_y
_atom_site_fract_z
Pa1 0.232 0.000 0.348
Si1 0.140 0.000 0.770
Se1 0.014 0.500 0.330
O1 0.021 0.000 0.280
O2 0.200 0.182 0.656
O3 0.204 0.000 0.022
```

=====

(6)
This record from the Alexandria database describes a relaxed structure of Li2TmMg6. The functional is PBE-GGA.

Energy above the lowest structure with this stoichiometry: 0.0161 eV per atom
Total energy: -17.650 eV per cell
DOS at the Fermi energy: 5.75 states/eV/f.u.
M_tot: 0.000 μB per formula unit
Formation energy: 24 meV per atom

The structure in CIF format:
```
data_Li2TmMg6
_chemical_formula_sum 'Li2 Tm1 Mg6'
_symmetry_space_group_name_H-M 'P -6 m 2'
_symmetry_Int_Tables_number 187
_symmetry_space_group_name_Hall 'P -6 2'
_cell_length_a 3.1975
_cell_length_b 3.1975
_cell_length_c 23.8230
_cell_angle_alpha 90.00
_cell_angle_beta 90.00
_cell_angle_gamma 120.00
loop_
_atom_site_label
_atom_site_fract_x
_atom_site_fract_y
_atom_site_fract_z
Li1 0.0000 0.0000 0.1673
Tm1 0.6667 0.3333 0.5000
Mg1 0.0000 0.0000 0.3808
Mg2 0.6667 0.3333 0.0640
Mg3 0.6667 0.3333 0.2706
```

=====

| no. | mass density (g/cm3) |
| --- | --- |
| 1 | 5.425 |
| 2 | 7.155 |
| 3 | 7.690 |
| 4 | 6.192 |
| 5 | 5.803 |
| 6 | 2.587 |